[1]
Compound: Li15Zn
Source: Alexandria via LeMat-Bulk
Functional: PBE
Structure: relaxed

It has space group P-6m2 (No. 187), with a = 5.9944 Å, b = 5.9944 Å, c = 9.7906 Å, α = 90.00°, β = 90.00° and γ = 120.00°. The inequivalent atoms are Li at (0.0000, 0.0000, 0.0000), Li at (0.0044, 0.5022, 0.5000), Li at (0.3262, 0.1631, 0.2613), Li at (0.3333, 0.6667, 0.2436), Li at (0.5029, 0.0058, 0.0000) and Zn at (0.0000, 0.0000, 0.5000).

The total energy comes out at -1.89 eV/atom. The value obtained for the density of states at the Fermi level is 0.363 states/eV per atom.


[2]
Compound: Li2Zn
Source: Alexandria via LeMat-Bulk
Functional: PBE
Structure: relaxed

It has space group Pa-3 (No. 205), with a = 6.234 Å, b = 6.234 Å, c = 6.234 Å, α = 90.00°, β = 90.00° and γ = 90.00°. The inequivalent atoms are Li at (0.138, 0.138, 0.138) and Zn at (0.000, 0.000, 0.500).

The total energy comes out at -1.60 eV/atom. The value obtained for the density of states at the Fermi level is 0.128 states/eV per atom.


[3]
Compound: LiZn6
Source: Alexandria via LeMat-Bulk
Functional: PBE
Structure: relaxed

It has space group P4/nbm (No. 125, origin choice 2), with a = 5.149 Å, b = 5.149 Å, c = 8.545 Å, α = 90.00°, β = 90.00° and γ = 90.00°. The inequivalent atoms are Li at (0.250, 0.750, 0.000), Zn at (0.073, 0.573, 0.360) and Zn at (0.250, 0.250, 0.144).

Its energy above the lowest structure with this stoichiometry is 0.000 eV/f.u. The total energy comes out at -1.37 eV/atom. The value obtained for the density of states at the Fermi level is 0.347 states/eV per atom.


[4]
Compound: Li5Zn3
Source: Alexandria via LeMat-Bulk
Functional: PBE
Structure: relaxed

It has space group C2 (No. 5), with a = 4.955 Å, b = 14.659 Å, c = 7.547 Å, α = 90.00°, β = 108.82° and γ = 90.00°. The inequivalent atoms are Li at (0.087, 0.000, 0.196), Li at (0.088, 0.653, 0.196), Li at (0.141, 0.227, 0.353), Li at (0.141, 0.426, 0.352), Li at (0.240, 0.326, 0.981), Zn at (0.000, 0.069, 0.500), Zn at (0.000, 0.154, 0.000), Zn at (0.000, 0.500, 0.000), Zn at (0.000, 0.583, 0.500) and Zn at (0.106, 0.827, 0.346).

Its energy above the lowest structure with this stoichiometry is 0.211 eV/f.u. The total energy comes out at -1.78 eV/atom. The value obtained for the density of states at the Fermi level is 0.273 states/eV per atom.


[5]
Compound: Li3Zn2
Source: Alexandria via LeMat-Bulk
Functional: PBE
Structure: relaxed

It has space group R-3m (No. 166, hexagonal axes), with a = 2.7664 Å, b = 2.7664 Å, c = 35.5593 Å, α = 90.00°, β = 90.00° and γ = 120.00°. The inequivalent atoms are Li at (0.0000, 0.0000, 0.0000), Li at (0.0000, 0.0000, 0.2022) and Zn at (0.0000, 0.0000, 0.3993).

Its energy above the lowest structure with this stoichiometry is 0.189 eV/f.u. The total energy comes out at -1.76 eV/atom. The value obtained for the density of states at the Fermi level is 0.406 states/eV per atom.


[6]
Compound: Li4Zn3
Source: Alexandria via LeMat-Bulk
Functional: PBE
Structure: relaxed

It has space group Immm (No. 71), with a = 2.818 Å, b = 3.782 Å, c = 20.064 Å, α = 90.00°, β = 90.00° and γ = 90.00°. The inequivalent atoms are Li at (0.000, 0.000, 0.071), Li at (0.000, 0.000, 0.211), Zn at (0.000, 0.000, 0.358) and Zn at (0.000, 0.000, 0.500).

Its energy above the lowest structure with this stoichiometry is 0.113 eV/f.u. The total energy comes out at -1.79 eV/atom. The value obtained for the density of states at the Fermi level is 0.257 states/eV per atom.


[7]
Compound: LiZn2
Source: Alexandria via LeMat-Bulk
Functional: PBE
Structure: relaxed

It has space group P-3m1 (No. 164), with a = 4.3726 Å, b = 4.3726 Å, c = 2.6466 Å, α = 90.00°, β = 90.00° and γ = 120.00°. The inequivalent atoms are Li at (0.0000, 0.0000, 0.0000) and Zn at (0.3333, 0.6667, 0.6240).

The total energy comes out at -1.66 eV/atom. The value obtained for the density of states at the Fermi level is 0.337 states/eV per atom.


[8]
Compound: LiZn6
Source: Alexandria via LeMat-Bulk
Functional: PBE
Structure: relaxed

It has space group Im-3m (No. 229), with a = 6.994 Å, b = 6.994 Å, c = 6.994 Å, α = 90.00°, β = 90.00° and γ = 90.00°. The inequivalent atoms are Li at (0.000, 0.000, 0.000) and Zn at (0.000, 0.250, 0.500).

Its energy above the lowest structure with this stoichiometry is 2.612 eV/f.u. The total energy comes out at -1.00 eV/atom. The value obtained for the density of states at the Fermi level is 0.589 states/eV per atom.


[9]
Compound: LiZn
Source: Alexandria via LeMat-Bulk
Functional: PBE
Structure: relaxed

It has space group P2_13 (No. 198), with a = 4.979 Å, b = 4.979 Å, c = 4.979 Å, α = 90.00°, β = 90.00° and γ = 90.00°. The inequivalent atoms are Li at (0.095, 0.405, 0.595) and Zn at (0.101, 0.899, 0.399).

The total energy comes out at -1.69 eV/atom. The value obtained for the density of states at the Fermi level is 0.417 states/eV per atom.


[10]
Compound: Li3Zn2
Source: Alexandria via LeMat-Bulk
Functional: PBE
Structure: relaxed

It has space group R-3 (No. 148, hexagonal axes), with a = 7.8488 Å, b = 7.8488 Å, c = 14.1606 Å, α = 90.00°, β = 90.00° and γ = 120.00°. The inequivalent atoms are Li at (0.0000, 0.0000, 0.0000), Li at (0.0000, 0.0000, 0.2229), Li at (0.0130, 0.7766, 0.4101) and Zn at (0.0437, 0.6169, 0.5724).

Its energy above the lowest structure with this stoichiometry is 0.302 eV/f.u. The total energy comes out at -1.73 eV/atom. The value obtained for the density of states at the Fermi level is 0.222 states/eV per atom.


[11]
Compound: LiZn
Source: Alexandria via LeMat-Bulk
Functional: PBE
Structure: relaxed

It has space group P4/mmm (No. 123), with a = 2.824 Å, b = 2.824 Å, c = 3.775 Å, α = 90.00°, β = 90.00° and γ = 90.00°. The inequivalent atoms are Li at (0.000, 0.000, 0.000) and Zn at (0.500, 0.500, 0.500).

The total energy comes out at -1.74 eV/atom. The value obtained for the density of states at the Fermi level is 0.447 states/eV per atom.


[12]
Compound: Li2Zn5
Source: Alexandria via LeMat-Bulk
Functional: PBE
Structure: relaxed

It has space group Ibam (No. 72), with a = 6.479 Å, b = 11.841 Å, c = 5.653 Å, α = 90.00°, β = 90.00° and γ = 90.00°. The inequivalent atoms are Li at (0.192, 0.102, 0.000), Zn at (0.000, 0.262, 0.250), Zn at (0.000, 0.500, 0.250) and Zn at (0.235, 0.125, 0.500).

The total energy comes out at -1.59 eV/atom. The value obtained for the density of states at the Fermi level is 0.313 states/eV per atom.